Record 1
Material: PaTc3
Method: DFT, PBE
State: optimized geometry

Summary:
Formation enthalpy at 0 K: 0.087 eV/atom
Volume: 17.03 Å³/atom
Electronic total energy: -10.061 eV per atom
Calculated density: 12.8 g cm⁻³
Size of the total moment: 0.000 μB per cell
D(E_F): 1.77 states/eV/atom

Unit cell a=4.0837 b=4.0837 c=4.0837 alpha=90.00 beta=90.00 gamma=90.00
Space group Pm-3m (No. 221)
One atom of each set of equivalent atoms:
Pa (0.0000, 0.0000, 0.0000) x1
Tc (0.0000, 0.5000, 0.5000) x3



Record 2
Material: Pa3Tc
Method: DFT, PBE
State: optimized geometry

Summary:
Formation enthalpy at 0 K: -0.104 eV/atom
Volume: 23.17 Å³/atom
Electronic total energy: -9.818 eV per atom
Calculated density: 14.2 g cm⁻³
Size of the total moment: 0.000 μB per cell
D(E_F): 1.62 states/eV/atom

Unit cell a=6.4032 b=3.5178 c=8.3552 alpha=90.00 beta=100.03 gamma=90.00
Space group P2_1/m (No. 11)
One atom of each set of equivalent atoms:
Pa (0.0623, 0.2500, 0.3406) x2
Pa (0.2192, 0.2500, 0.9474) x2
Pa (0.3858, 0.7500, 0.6204) x2
Tc (0.3352, 0.7500, 0.2010) x2



Record 3
Material: Pa5Tc
Method: DFT, PBE
State: optimized geometry

Summary:
Formation enthalpy at 0 K: -0.077 eV/atom
Volume: 23.07 Å³/atom
Electronic total energy: -9.718 eV per atom
Calculated density: 15.0 g cm⁻³
Size of the total moment: 0.000 μB per cell
D(E_F): 1.47 states/eV/atom

Unit cell a=3.3101 b=5.7735 c=7.9011 alpha=106.26 beta=90.09 gamma=106.55
Space group P-1 (No. 2)
One atom of each set of equivalent atoms:
Pa (0.0000, 0.0000, 0.0000) x1
Pa (0.3229, 0.6403, 0.1910) x2
Pa (0.3463, 0.6932, 0.6520) x2
Tc (0.0000, 0.0000, 0.5000) x1



Record 4
Material: PaTc2
Method: DFT, PBE
State: optimized geometry

Summary:
Formation enthalpy at 0 K: -0.200 eV/atom
Volume: 18.35 Å³/atom
Electronic total energy: -10.276 eV per atom
Calculated density: 12.9 g cm⁻³
Size of the total moment: 0.000 μB per cell
D(E_F): 1.15 states/eV/atom

Unit cell a=5.1745 b=5.1745 c=9.4960 alpha=90.00 beta=90.00 gamma=120.00
Space group P6_3/mmc (No. 194)
One atom of each set of equivalent atoms:
Pa (0.3333, 0.6667, 0.0623) x4
Tc (0.0000, 0.0000, 0.0000) x2
Tc (0.1695, 0.3389, 0.7500) x6



Record 5
Material: Pa3Tc
Method: DFT, PBE
State: optimized geometry

Summary:
Formation enthalpy at 0 K: 0.187 eV/atom
Volume: 23.16 Å³/atom
Electronic total energy: -9.527 eV per atom
Calculated density: 14.2 g cm⁻³
Size of the total moment: 0.000 μB per cell
D(E_F): 2.01 states/eV/atom

Unit cell a=3.1736 b=3.2032 c=9.1127 alpha=90.00 beta=90.00 gamma=90.00
Space group Pmm2 (No. 25)
One atom of each set of equivalent atoms:
Pa (0.0000, 0.0000, 0.0000) x1
Pa (0.0000, 0.5000, 0.2911) x1
Pa (0.5000, 0.5000, 0.7295) x1
Tc (0.5000, 0.0000, 0.4882) x1



Record 6
Material: Pa2Tc
Method: DFT, PBE
State: optimized geometry

Summary:
Formation enthalpy at 0 K: -0.182 eV/atom
Volume: 20.97 Å³/atom
Electronic total energy: -9.968 eV per atom
Calculated density: 14.8 g cm⁻³
Size of the total moment: 0.000 μB per cell
D(E_F): 1.37 states/eV/atom

Unit cell a=12.6296 b=3.2084 c=6.8226 alpha=90.00 beta=114.46 gamma=90.00
Space group C2/m (No. 12)
One atom of each set of equivalent atoms:
Pa (0.0067, 0.0000, 0.2831) x4
Pa (0.1690, 0.5000, 0.0783) x4
Tc (0.1877, 0.5000, 0.5846) x4



Record 7
Material: PaTc4
Method: DFT, PBE
State: optimized geometry

Summary:
Formation enthalpy at 0 K: 1.870 eV/atom
Volume: 21.62 Å³/atom
Electronic total energy: -8.322 eV per atom
Calculated density: 9.6 g cm⁻³
Size of the total moment: 2.531 μB per cell
D(E_F): 1.21 states/eV/atom

Unit cell a=4.7636 b=4.7636 c=4.7636 alpha=90.00 beta=90.00 gamma=90.00
Space group Pm-3m (No. 221)
One atom of each set of equivalent atoms:
Pa (0.0000, 0.0000, 0.0000) x1
Tc (0.0000, 0.0000, 0.5000) x3
Tc (0.5000, 0.5000, 0.5000) x1



Record 8
Material: PaTc2
Method: DFT, PBE
State: optimized geometry

Summary:
Formation enthalpy at 0 K: -0.052 eV/atom
Volume: 18.14 Å³/atom
Electronic total energy: -10.128 eV per atom
Calculated density: 13.0 g cm⁻³
Size of the total moment: 0.000 μB per cell
D(E_F): 1.50 states/eV/atom

Unit cell a=3.0089 b=3.0089 c=12.0198 alpha=90.00 beta=90.00 gamma=90.00
Space group I4/mmm (No. 139)
One atom of each set of equivalent atoms:
Pa (0.0000, 0.0000, 0.0000) x2
Tc (0.0000, 0.0000, 0.3109) x4



Record 9
Material: Pa3Tc2
Method: DFT, PBE
State: optimized geometry

Summary:
Formation enthalpy at 0 K: -0.056 eV/atom
Volume: 23.19 Å³/atom
Electronic total energy: -9.900 eV per atom
Calculated density: 12.7 g cm⁻³
Size of the total moment: 0.000 μB per cell
D(E_F): 1.58 states/eV/atom

Unit cell a=12.0390 b=6.2316 c=7.0457 alpha=90.00 beta=118.66 gamma=90.00
Space group C2/c (No. 15)
One atom of each set of equivalent atoms:
Pa (0.0000, 0.1345, 0.2500) x4
Pa (0.2153, 0.4281, 0.7789) x8
Tc (0.0705, 0.3051, 0.9831) x8



Record 10
Material: PaTc
Method: DFT, PBE
State: optimized geometry

Summary:
Formation enthalpy at 0 K: -0.164 eV/atom
Volume: 20.35 Å³/atom
Electronic total energy: -10.095 eV per atom
Calculated density: 13.4 g cm⁻³
Size of the total moment: 0.000 μB per cell
D(E_F): 0.94 states/eV/atom

Unit cell a=3.4396 b=3.4396 c=3.4396 alpha=90.00 beta=90.00 gamma=90.00
Space group Pm-3m (No. 221)
One atom of each set of equivalent atoms:
Pa (0.0000, 0.0000, 0.0000) x1
Tc (0.5000, 0.5000, 0.5000) x1



Record 11
Material: Pa3Tc
Method: DFT, PBE
State: optimized geometry

Summary:
Formation enthalpy at 0 K: 0.115 eV/atom
Volume: 21.92 Å³/atom
Electronic total energy: -9.599 eV per atom
Calculated density: 15.0 g cm⁻³
Size of the total moment: 0.009 μB per cell
D(E_F): 3.27 states/eV/atom

Unit cell a=7.0522 b=7.0522 c=7.0522 alpha=90.00 beta=90.00 gamma=90.00
Space group Fm-3m (No. 225)
One atom of each set of equivalent atoms:
Pa (0.0000, 0.0000, 0.0000) x4
Pa (0.2500, 0.2500, 0.2500) x8
Tc (0.0000, 0.0000, 0.5000) x4



Record 12
Material: PaTc3
Method: DFT, PBE
State: optimized geometry

Summary:
Formation enthalpy at 0 K: 0.008 eV/atom
Volume: 17.00 Å³/atom
Electronic total energy: -10.140 eV per atom
Calculated density: 12.8 g cm⁻³
Size of the total moment: 0.000 μB per cell
D(E_F): 0.89 states/eV/atom

Unit cell a=3.0265 b=9.2200 c=4.8729 alpha=90.00 beta=90.00 gamma=90.00
Space group Imm2 (No. 44)
One atom of each set of equivalent atoms:
Pa (0.0000, 0.0000, 0.0000) x2
Tc (0.0000, 0.2298, 0.6581) x4
Tc (0.0000, 0.5000, 0.9822) x2



Record 13
Material: PaTc3
Method: DFT, PBE
State: optimized geometry

Summary:
Formation enthalpy at 0 K: -0.095 eV/atom
Volume: 17.96 Å³/atom
Electronic total energy: -10.244 eV per atom
Calculated density: 12.1 g cm⁻³
Size of the total moment: 0.001 μB per cell
D(E_F): 1.28 states/eV/atom

Unit cell a=5.0474 b=5.0535 c=18.4056 alpha=89.97 beta=89.97 gamma=66.67
Space group P-1 (No. 2)
One atom of each set of equivalent atoms:
Pa (0.1597, 0.1603, 0.0348) x2
Pa (0.1595, 0.1602, 0.4652) x2
Pa (0.1635, 0.1651, 0.2499) x2
Tc (0.1390, 0.1368, 0.7500) x2
Tc (0.1582, 0.6617, 0.1245) x2
Tc (0.1579, 0.6615, 0.3755) x2
Tc (0.3372, 0.3360, 0.6290) x2
Tc (0.3370, 0.3359, 0.8711) x2
Tc (0.3389, 0.8410, 0.6244) x2
Tc (0.3387, 0.8409, 0.8756) x2
Tc (0.4663, 0.4670, 0.2500) x2
Tc (0.5000, 0.5000, 0.0000) x1
Tc (0.5000, 0.5000, 0.5000) x1



Record 14
Material: Pa3Tc
Method: DFT, PBE
State: optimized geometry

Summary:
Formation enthalpy at 0 K: -0.081 eV/atom
Volume: 23.02 Å³/atom
Electronic total energy: -9.795 eV per atom
Calculated density: 14.3 g cm⁻³
Size of the total moment: 0.000 μB per cell
D(E_F): 1.87 states/eV/atom

Unit cell a=11.4969 b=11.4969 c=5.5726 alpha=90.00 beta=90.00 gamma=90.00
Space group P4_2/n (No. 86, origin choice 2)
One atom of each set of equivalent atoms:
Pa (0.0404, 0.5867, 0.2246) x8
Pa (0.1135, 0.1934, 0.4999) x8
Pa (0.1344, 0.6675, 0.7719) x8
Tc (0.0613, 0.1742, 0.0009) x8



Record 15
Material: Pa6Tc5
Method: DFT, PBE
State: optimized geometry

Summary:
Formation enthalpy at 0 K: -0.082 eV/atom
Volume: 22.94 Å³/atom
Electronic total energy: -9.973 eV per atom
Calculated density: 12.3 g cm⁻³
Size of the total moment: 0.000 μB per cell
D(E_F): 1.09 states/eV/atom

Unit cell a=6.6179 b=11.2430 c=7.0186 alpha=90.00 beta=104.87 gamma=90.00
Space group C2/m (No. 12)
One atom of each set of equivalent atoms:
Pa (0.2318, 0.0000, 0.2068) x4
Pa (0.2328, 0.1733, 0.7250) x8
Tc (0.0000, 0.0000, 0.5000) x2
Tc (0.0000, 0.1805, 0.0000) x4
Tc (0.0000, 0.3682, 0.5000) x4



Record 16
Material: PaTc3
Method: DFT, PBE
State: optimized geometry

Summary:
Formation enthalpy at 0 K: 0.081 eV/atom
Volume: 16.92 Å³/atom
Electronic total energy: -10.067 eV per atom
Calculated density: 12.9 g cm⁻³
Size of the total moment: 0.000 μB per cell
D(E_F): 0.98 states/eV/atom

Unit cell a=3.0549 b=4.4170 c=5.0148 alpha=90.00 beta=90.00 gamma=90.00
Space group Pmm2 (No. 25)
One atom of each set of equivalent atoms:
Pa (0.0000, 0.0000, 0.0000) x1
Tc (0.0000, 0.5000, 0.3533) x1
Tc (0.5000, 0.0000, 0.4948) x1
Tc (0.5000, 0.5000, 0.8417) x1



Record 17
Material: PaTc
Method: DFT, PBE
State: optimized geometry

Summary:
Formation enthalpy at 0 K: -0.202 eV/atom
Volume: 20.40 Å³/atom
Electronic total energy: -10.133 eV per atom
Calculated density: 13.4 g cm⁻³
Size of the total moment: 0.000 μB per cell
D(E_F): 0.96 states/eV/atom

Unit cell a=11.8851 b=3.7315 c=5.5189 alpha=90.00 beta=90.00 gamma=90.00
Space group Pmma (No. 51)
One atom of each set of equivalent atoms:
Pa (0.0845, 0.0000, 0.2436) x4
Pa (0.2500, 0.0000, 0.7698) x2
Tc (0.0824, 0.5000, 0.7224) x4
Tc (0.2500, 0.5000, 0.2953) x2



Record 18
Material: PaTc3
Method: DFT, PBE
State: optimized geometry

Summary:
Formation enthalpy at 0 K: -0.078 eV/atom
Volume: 17.90 Å³/atom
Electronic total energy: -10.226 eV per atom
Calculated density: 12.2 g cm⁻³
Size of the total moment: 0.000 μB per cell
D(E_F): 1.41 states/eV/atom

Unit cell a=9.4971 b=4.9239 c=9.7982 alpha=90.00 beta=110.31 gamma=90.00
Space group C2/m (No. 12)
One atom of each set of equivalent atoms:
Pa (0.0000, 0.0000, 0.0000) x2
Pa (0.1488, 0.0000, 0.4310) x4
Tc (0.0000, 0.5000, 0.5000) x2
Tc (0.0931, 0.5000, 0.2538) x4
Tc (0.1472, 0.5000, 0.9923) x4
Tc (0.1639, 0.2458, 0.7553) x8



Record 19
Material: Pa3Tc
Method: DFT, PBE
State: optimized geometry

Summary:
Formation enthalpy at 0 K: -0.166 eV/atom
Volume: 21.91 Å³/atom
Electronic total energy: -9.879 eV per atom
Calculated density: 15.0 g cm⁻³
Size of the total moment: 0.000 μB per cell
D(E_F): 1.27 states/eV/atom

Unit cell a=3.3176 b=5.4935 c=9.6185 alpha=90.00 beta=90.00 gamma=90.00
Space group Immm (No. 71)
One atom of each set of equivalent atoms:
Pa (0.0000, 0.0000, 0.0000) x2
Pa (0.0000, 0.5000, 0.2370) x4
Tc (0.0000, 0.0000, 0.5000) x2



Record 20
Material: Pa5Tc
Method: DFT, PBE
State: optimized geometry

Summary:
Formation enthalpy at 0 K: 0.065 eV/atom
Volume: 22.63 Å³/atom
Electronic total energy: -9.576 eV per atom
Calculated density: 15.3 g cm⁻³
Size of the total moment: 0.000 μB per cell
D(E_F): 1.83 states/eV/atom

Unit cell a=4.1148 b=16.0231 c=4.1183 alpha=90.00 beta=90.00 gamma=90.00
Space group Cmmm (No. 65)
One atom of each set of equivalent atoms:
Pa (0.0000, 0.0000, 0.0000) x2
Pa (0.0000, 0.1651, 0.5000) x4
Pa (0.0000, 0.3306, 0.0000) x4
Tc (0.0000, 0.5000, 0.5000) x2